(1)
{"formula": "RbAl3Sn", "functional": "PBE", "state": "relaxed", "total_magnetization_mub_per_cell": 0.00, "dos_at_fermi_per_ev_cell": 3.2, "lattice_angstrom": [[5.585, 0.000, 0.000], [0.000, 5.585, 0.000], [0.000, 0.000, 5.585]], "species": ["Rb", "Al", "Al", "Al", "Sn"], "fractional_positions": [[0.000, 0.000, 0.000], [0.000, 0.500, 0.500], [0.500, 0.000, 0.500], [0.500, 0.500, 0.000], [0.500, 0.500, 0.500]]}

***

(2)
{"formula": "Fe2ReIr6", "functional": "PBE", "state": "relaxed", "total_magnetization_mub_per_cell": 4.71, "dos_at_fermi_per_ev_cell": 11.0, "lattice_angstrom": [[6.771, -3.659, 0.000], [6.771, 3.659, 0.000], [-0.546, 0.000, 2.673]], "species": ["Fe", "Fe", "Re", "Ir", "Ir", "Ir", "Ir", "Ir", "Ir"], "fractional_positions": [[0.169, 0.169, 0.169], [0.831, 0.831, 0.831], [0.500, 0.500, 0.500], [0.134, 0.532, 0.333], [0.188, 0.812, 0.000], [0.468, 0.866, 0.667], [0.532, 0.134, 0.333], [0.812, 0.188, 0.000], [0.866, 0.468, 0.667]]}

***

(3)
{"formula": "AcNpAg2O8", "functional": "PBE", "state": "relaxed", "total_magnetization_mub_per_cell": 0.00, "dos_at_fermi_per_ev_cell": 7.2, "formation_energy_uncorrected_ev_per_fu": -17.1, "lattice_angstrom": [[-3.597, 3.597, 3.732], [3.597, -3.597, 3.732], [3.597, 3.597, -3.732]], "species": ["Ac", "Np", "Ag", "Ag", "O", "O", "O", "O", "O", "O", "O", "O"], "fractional_positions": [[0.000, 0.000, 0.000], [0.250, 0.750, 0.500], [0.500, 0.500, 0.000], [0.750, 0.250, 0.500], [0.284, 0.058, 0.774], [0.284, 0.510, 0.226], [0.371, 0.034, 0.337], [0.490, 0.716, 0.774], [0.697, 0.034, 0.663], [0.942, 0.716, 0.226], [0.966, 0.303, 0.337], [0.966, 0.629, 0.663]]}

***

(4)
{"formula": "DyErAs2", "functional": "PBE", "state": "relaxed", "total_magnetization_mub_per_cell": 0.00, "dos_at_fermi_per_ev_cell": 0.4, "lattice_angstrom": [[2.031, 1.172, 6.976], [-2.031, 1.172, 6.976], [0.000, -2.345, 6.976]], "species": ["Dy", "Er", "As", "As"], "fractional_positions": [[0.000, 0.000, 0.000], [0.171, 0.171, 0.171], [0.584, 0.584, 0.584], [0.754, 0.754, 0.754]]}

***

(5)
{"formula": "PaHg2Pd", "functional": "PBE", "state": "relaxed", "total_magnetization_mub_per_cell": 0.00, "dos_at_fermi_per_ev_cell": 3.8, "lattice_angstrom": [[0.000, 3.515, 3.515], [3.515, 0.000, 3.515], [3.515, 3.515, 0.000]], "species": ["Pa", "Hg", "Hg", "Pd"], "fractional_positions": [[0.000, 0.000, 0.000], [0.250, 0.250, 0.250], [0.750, 0.750, 0.750], [0.500, 0.500, 0.500]]}

***

(6)
{"formula": "PrY6Er12", "functional": "PBE", "state": "relaxed", "total_magnetization_mub_per_cell": 0.00, "dos_at_fermi_per_ev_cell": 31.8, "lattice_angstrom": [[5.945, 3.432, 5.020], [-5.945, 3.432, 5.020], [0.000, -6.864, 5.020]], "species": ["Pr", "Y", "Y", "Y", "Y", "Y", "Y", "Er", "Er", "Er", "Er", "Er", "Er", "Er", "Er", "Er", "Er", "Er", "Er"], "fractional_positions": [[0.000, 0.000, 0.000], [0.090, 0.682, 0.256], [0.256, 0.090, 0.682], [0.318, 0.744, 0.910], [0.682, 0.256, 0.090], [0.744, 0.910, 0.318], [0.910, 0.318, 0.744], [0.008, 0.219, 0.351], [0.219, 0.351, 0.008], [0.230, 0.454, 0.564], [0.351, 0.008, 0.219], [0.436, 0.770, 0.546], [0.454, 0.564, 0.230], [0.546, 0.436, 0.770], [0.564, 0.230, 0.454], [0.649, 0.992, 0.781], [0.770, 0.546, 0.436], [0.781, 0.649, 0.992], [0.992, 0.781, 0.649]]}

***

(7)
{"formula": "AcSbH", "functional": "PBE", "state": "relaxed", "total_magnetization_mub_per_cell": 0.00, "dos_at_fermi_per_ev_cell": 1.5, "lattice_angstrom": [[4.196, 0.000, 0.000], [-2.098, 3.633, 0.000], [0.000, 0.000, 5.030]], "species": ["Ac", "Sb", "H"], "fractional_positions": [[0.000, 0.000, 0.000], [0.667, 0.333, 0.500], [0.333, 0.667, 0.000]]}

***

(8)
{"formula": "Li2CdOs", "functional": "PBE", "state": "relaxed", "total_magnetization_mub_per_cell": 0.00, "dos_at_fermi_per_ev_cell": 2.5, "lattice_angstrom": [[2.600, 0.000, 0.000], [0.000, 4.446, 0.000], [0.000, 0.000, 5.475]], "species": ["Li", "Li", "Cd", "Os"], "fractional_positions": [[0.000, 0.000, 0.000], [0.500, 0.500, 0.261], [0.500, 0.500, 0.739], [0.000, 0.000, 0.488]]}

***

(9)
{"formula": "KPIr2", "functional": "PBE", "state": "relaxed", "total_magnetization_mub_per_cell": 0.00, "dos_at_fermi_per_ev_cell": 1.4, "lattice_angstrom": [[4.994, -1.429, 0.000], [4.994, 1.429, 0.000], [-2.480, 0.000, 6.054]], "species": ["K", "P", "Ir", "Ir"], "fractional_positions": [[0.000, 0.000, 0.000], [0.179, 0.179, 0.668], [0.486, 0.486, 0.469], [0.766, 0.766, 0.460]]}

***

(10)
{"formula": "Na3Cd5Cl12", "functional": "PBE", "state": "relaxed", "total_magnetization_mub_per_cell": 0.00, "dos_at_fermi_per_ev_cell": 5.9, "formation_energy_uncorrected_ev_per_fu": -23.9, "lattice_angstrom": [[-8.260, 8.260, 8.260], [8.260, -8.260, 8.260], [8.260, 8.260, -8.260]], "species": ["Na", "Na", "Na", "Na", "Na", "Na", "Na", "Na", "Na", "Na", "Na", "Na", "Cd", "Cd", "Cd", "Cd", "Cd", "Cd", "Cd", "Cd", "Cd", "Cd", "Cd", "Cd", "Cd", "Cd", "Cd", "Cd", "Cd", "Cd", "Cd", "Cd", "Cl", "Cl", "Cl", "Cl", "Cl", "Cl", "Cl", "Cl", "Cl", "Cl", "Cl", "Cl", "Cl", "Cl", "Cl", "Cl", "Cl", "Cl", "Cl", "Cl", "Cl", "Cl", "Cl", "Cl", "Cl", "Cl", "Cl", "Cl", "Cl", "Cl", "Cl", "Cl", "Cl", "Cl", "Cl", "Cl", "Cl", "Cl", "Cl", "Cl", "Cl", "Cl", "Cl", "Cl", "Cl", "Cl", "Cl", "Cl"], "fractional_positions": [[0.125, 0.250, 0.375], [0.125, 0.375, 0.750], [0.250, 0.375, 0.125], [0.250, 0.875, 0.625], [0.375, 0.125, 0.250], [0.375, 0.750, 0.125], [0.625, 0.250, 0.875], [0.625, 0.875, 0.750], [0.750, 0.125, 0.375], [0.750, 0.625, 0.875], [0.875, 0.625, 0.250], [0.875, 0.750, 0.625], [0.000, 0.000, 0.000], [0.000, 0.000, 0.500], [0.000, 0.500, 0.000], [0.000, 0.500, 0.500], [0.125, 0.750, 0.875], [0.125, 0.875, 0.250], [0.250, 0.125, 0.875], [0.250, 0.625, 0.375], [0.375, 0.250, 0.625], [0.375, 0.625, 0.750], [0.500, 0.000, 0.000], [0.500, 0.000, 0.500], [0.500, 0.500, 0.000], [0.500, 0.500, 0.500], [0.625, 0.375, 0.250], [0.625, 0.750, 0.375], [0.750, 0.375, 0.625], [0.750, 0.875, 0.125], [0.875, 0.125, 0.750], [0.875, 0.250, 0.125], [0.035, 0.212, 0.125], [0.035, 0.324, 0.910], [0.087, 0.712, 0.676], [0.087, 0.875, 0.410], [0.090, 0.625, 0.413], [0.090, 0.965, 0.676], [0.125, 0.035, 0.212], [0.125, 0.590, 0.913], [0.176, 0.212, 0.587], [0.176, 0.465, 0.590], [0.212, 0.125, 0.035], [0.212, 0.587, 0.176], [0.288, 0.324, 0.913], [0.288, 0.465, 0.375], [0.324, 0.910, 0.035], [0.324, 0.913, 0.288], [0.375, 0.288, 0.465], [0.375, 0.587, 0.910], [0.410, 0.087, 0.875], [0.410, 0.824, 0.535], [0.413, 0.090, 0.625], [0.413, 0.824, 0.788], [0.465, 0.375, 0.288], [0.465, 0.590, 0.176], [0.535, 0.410, 0.824], [0.535, 0.625, 0.712], [0.587, 0.176, 0.212], [0.587, 0.910, 0.375], [0.590, 0.176, 0.465], [0.590, 0.913, 0.125], [0.625, 0.413, 0.090], [0.625, 0.712, 0.535], [0.676, 0.087, 0.712], [0.676, 0.090, 0.965], [0.712, 0.535, 0.625], [0.712, 0.676, 0.087], [0.788, 0.413, 0.824], [0.788, 0.875, 0.965], [0.824, 0.535, 0.410], [0.824, 0.788, 0.413], [0.875, 0.410, 0.087], [0.875, 0.965, 0.788], [0.910, 0.035, 0.324], [0.910, 0.375, 0.587], [0.913, 0.125, 0.590], [0.913, 0.288, 0.324], [0.965, 0.676, 0.090], [0.965, 0.788, 0.875]]}

***

(11)
{"formula": "Tl12Hg5Se3", "functional": "PBE", "state": "relaxed", "total_magnetization_mub_per_cell": 0.00, "dos_at_fermi_per_ev_cell": 39.6, "formation_energy_uncorrected_ev_per_fu": -0.3, "lattice_angstrom": [[-9.100, 9.100, 9.100], [9.100, -9.100, 9.100], [9.100, 9.100, -9.100]], "species": ["Tl", "Tl", "Tl", "Tl", "Tl", "Tl", "Tl", "Tl", "Tl", "Tl", "Tl", "Tl", "Tl", "Tl", "Tl", "Tl", "Tl", "Tl", "Tl", "Tl", "Tl", "Tl", "Tl", "Tl", "Tl", "Tl", "Tl", "Tl", "Tl", "Tl", "Tl", "Tl", "Tl", "Tl", "Tl", "Tl", "Tl", "Tl", "Tl", "Tl", "Tl", "Tl", "Tl", "Tl", "Tl", "Tl", "Tl", "Tl", "Hg", "Hg", "Hg", "Hg", "Hg", "Hg", "Hg", "Hg", "Hg", "Hg", "Hg", "Hg", "Hg", "Hg", "Hg", "Hg", "Hg", "Hg", "Hg", "Hg", "Se", "Se", "Se", "Se", "Se", "Se", "Se", "Se", "Se", "Se", "Se", "Se"], "fractional_positions": [[0.068, 0.232, 0.141], [0.068, 0.335, 0.926], [0.074, 0.641, 0.409], [0.074, 0.932, 0.665], [0.091, 0.732, 0.665], [0.091, 0.859, 0.426], [0.141, 0.068, 0.232], [0.141, 0.574, 0.909], [0.165, 0.232, 0.591], [0.165, 0.432, 0.574], [0.232, 0.141, 0.068], [0.232, 0.591, 0.165], [0.268, 0.335, 0.909], [0.268, 0.432, 0.359], [0.335, 0.909, 0.268], [0.335, 0.926, 0.068], [0.359, 0.268, 0.432], [0.359, 0.591, 0.926], [0.409, 0.074, 0.641], [0.409, 0.835, 0.768], [0.426, 0.091, 0.859], [0.426, 0.835, 0.568], [0.432, 0.359, 0.268], [0.432, 0.574, 0.165], [0.568, 0.426, 0.835], [0.568, 0.641, 0.732], [0.574, 0.165, 0.432], [0.574, 0.909, 0.141], [0.591, 0.165, 0.232], [0.591, 0.926, 0.359], [0.641, 0.409, 0.074], [0.641, 0.732, 0.568], [0.665, 0.074, 0.932], [0.665, 0.091, 0.732], [0.732, 0.568, 0.641], [0.732, 0.665, 0.091], [0.768, 0.409, 0.835], [0.768, 0.859, 0.932], [0.835, 0.568, 0.426], [0.835, 0.768, 0.409], [0.859, 0.426, 0.091], [0.859, 0.932, 0.768], [0.909, 0.141, 0.574], [0.909, 0.268, 0.335], [0.926, 0.068, 0.335], [0.926, 0.359, 0.591], [0.932, 0.665, 0.074], [0.932, 0.768, 0.859], [0.000, 0.000, 0.000], [0.000, 0.000, 0.500], [0.000, 0.500, 0.000], [0.000, 0.500, 0.500], [0.125, 0.750, 0.875], [0.125, 0.875, 0.250], [0.250, 0.125, 0.875], [0.250, 0.625, 0.375], [0.375, 0.250, 0.625], [0.375, 0.625, 0.750], [0.500, 0.000, 0.000], [0.500, 0.000, 0.500], [0.500, 0.500, 0.000], [0.500, 0.500, 0.500], [0.625, 0.375, 0.250], [0.625, 0.750, 0.375], [0.750, 0.375, 0.625], [0.750, 0.875, 0.125], [0.875, 0.125, 0.750], [0.875, 0.250, 0.125], [0.125, 0.250, 0.375], [0.125, 0.375, 0.750], [0.250, 0.375, 0.125], [0.250, 0.875, 0.625], [0.375, 0.125, 0.250], [0.375, 0.750, 0.125], [0.625, 0.250, 0.875], [0.625, 0.875, 0.750], [0.750, 0.125, 0.375], [0.750, 0.625, 0.875], [0.875, 0.625, 0.250], [0.875, 0.750, 0.625]]}

***

(12)
{"formula": "Sm2ErPuBi4", "functional": "PBE", "state": "relaxed", "total_magnetization_mub_per_cell": 5.14, "dos_at_fermi_per_ev_cell": 17.4, "lattice_angstrom": [[7.837, 0.000, 0.000], [0.000, 4.530, 0.000], [-2.604, 0.000, 7.393]], "species": ["Sm", "Sm", "Er", "Pu", "Bi", "Bi", "Bi", "Bi"], "fractional_positions": [[0.000, 0.000, 0.000], [0.500, 0.500, 0.000], [0.000, 0.500, 0.500], [0.500, 0.000, 0.500], [0.246, 0.000, 0.744], [0.249, 0.500, 0.254], [0.751, 0.500, 0.746], [0.754, 0.000, 0.256]]}

***

Number 1: uncorrected energy -2.621 eV per atom. Number 2: uncorrected energy -9.031 eV per atom. Number 3: uncorrected energy -6.625 eV per atom. Number 4: uncorrected energy -5.994 eV per atom. Number 5: uncorrected energy -3.905 eV per atom. Number 6: uncorrected energy -5.012 eV per atom. Number 7: uncorrected energy -4.529 eV per atom. Number 8: uncorrected energy -3.744 eV per atom. Number 9: uncorrected energy -6.120 eV per atom. Number 10: uncorrected energy -2.730 eV per atom. Number 11: uncorrected energy -2.031 eV per atom. Number 12: uncorrected energy -6.221 eV per atom.